Record 1
VASP calculation (PBE) on Ba2LaTb3O8 after structural relaxation.

Structure (CIF):
```
data_Ba2LaTb3O8
_chemical_formula_sum 'Ba6 La3 Tb9 O24'
_space_group_name_H-M_alt 'R 3 m'
_space_group_IT_number 160
_space_group_name_Hall 'R 3 -2"'
_cell_length_a 7.0796
_cell_length_b 7.0796
_cell_length_c 18.3626
_cell_angle_alpha 90.00
_cell_angle_beta 90.00
_cell_angle_gamma 120.00
loop_
_atom_site_label
_atom_site_type_symbol
_atom_site_fract_x
_atom_site_fract_y
_atom_site_fract_z
Ba1 Ba 0.0000 0.0000 0.0000
Ba2 Ba 0.0000 0.0000 0.3770
La1 La 0.0000 0.0000 0.7601
Tb1 Tb 0.0059 0.5030 0.8781
O1 O 0.0000 0.0000 0.1465
O2 O 0.0000 0.0000 0.6144
O3 O 0.0102 0.5051 0.1406
O4 O 0.1858 0.3716 0.9415
```

Values from the calculation:
For the total energy, the calculation gives -320.0 eV/cell. Its volume is 797.0 Å³/cell.



Record 2
VASP calculation (PBE) on CdTc2Ru after structural relaxation.

Structure (CIF):
```
data_CdTc2Ru
_chemical_formula_sum 'Cd1 Tc2 Ru1'
_space_group_name_H-M_alt 'P 1 m 1'
_space_group_IT_number 6
_cell_length_a 2.8162
_cell_length_b 4.2337
_cell_length_c 5.5332
_cell_angle_alpha 90.00
_cell_angle_beta 104.12
_cell_angle_gamma 90.00
loop_
_space_group_symop_operation_xyz
'x,y,z'
'x,-y,z'
loop_
_atom_site_label
_atom_site_type_symbol
_atom_site_fract_x
_atom_site_fract_y
_atom_site_fract_z
Cd1 Cd 0.0000 0.0000 0.0000
Tc1 Tc 0.2623 0.0000 0.5074
Tc2 Tc 0.3704 0.5000 0.7346
Ru1 Ru 0.6597 0.5000 0.2979
```

Values from the calculation:
The calculation puts the energy relative to the elements at 0.37 eV per atom. For the total energy, the calculation gives -29.4 eV/cell. Its volume is 64.0 Å³/cell.



Record 3
VASP calculation (PBE) on Ta7Nb3W after structural relaxation.

Structure (CIF):
```
data_Ta7Nb3W
_chemical_formula_sum 'Ta7 Nb3 W1'
_space_group_name_H-M_alt 'P 3 m 1'
_space_group_IT_number 156
_cell_length_a 5.8149
_cell_length_b 5.8149
_cell_length_c 7.2828
_cell_angle_alpha 90.00
_cell_angle_beta 90.00
_cell_angle_gamma 120.00
loop_
_space_group_symop_operation_xyz
'x,y,z'
'-y,x-y,z'
'-x+y,-x,z'
'-y,-x,z'
'-x+y,y,z'
'x,x-y,z'
loop_
_atom_site_label
_atom_site_type_symbol
_atom_site_fract_x
_atom_site_fract_y
_atom_site_fract_z
Ta1 Ta 0.0000 0.0000 0.0000
Ta2 Ta 0.0078 0.5039 0.9822
Ta3 Ta 0.1703 0.3407 0.3336
Nb1 Nb 0.3340 0.1670 0.6574
W1 W 0.6667 0.3333 0.3143
```

Values from the calculation:
The calculation puts the energy relative to the elements at 0.47 eV per atom. For the total energy, the calculation gives -121.0 eV/cell. Its volume is 213.3 Å³/cell.



Record 4
VASP calculation (PBE) on Tm3CdSn3 after structural relaxation.

Structure (CIF):
```
data_Tm3CdSn3
_chemical_formula_sum 'Tm6 Cd2 Sn6'
_space_group_name_H-M_alt 'P 63/m'
_space_group_IT_number 176
_space_group_name_Hall '-P 6c'
_cell_length_a 9.1299
_cell_length_b 9.1299
_cell_length_c 6.0817
_cell_angle_alpha 90.00
_cell_angle_beta 90.00
_cell_angle_gamma 120.00
loop_
_atom_site_label
_atom_site_type_symbol
_atom_site_fract_x
_atom_site_fract_y
_atom_site_fract_z
Tm1 Tm 0.0373 0.3569 0.2500
Cd1 Cd 0.3333 0.6667 0.7500
Sn1 Sn 0.0307 0.3411 0.7500
```

Values from the calculation:
The calculation puts the energy relative to the elements at -0.31 eV per atom. For the total energy, the calculation gives -57.0 eV/cell. Its volume is 439.0 Å³/cell.